# 1
Material: SbMoAu2
Method: DFT, GGA-PBEsol
State: optimized geometry

Cell and atoms, written as extended XYZ:
```
4
Lattice="-2.469 0.617 -1.303 0.949 -3.229 -3.327 -1.386 -3.998 3.485" Properties=species:S:1:pos:R:3 pbc="T T T"
Au -3.263 -2.464 1.461
Au -0.592 -0.917 0.721
Sb -0.218 -3.614 0.079
Mo -0.760 -1.306 -2.315
```

Calculated values
Formation energy (no corrections) = 0.36 eV/atom

# 2
Material: TaSbMo2Au
Method: DFT, GGA-PBEsol
State: optimized geometry

Cell and atoms, written as extended XYZ:
```
5
Lattice="4.783 0.000 0.000 0.000 4.783 0.000 0.000 0.000 4.945" Properties=species:S:1:pos:R:3 pbc="T T T"
Mo 0.000 2.392 0.000
Mo 2.392 0.000 0.000
Sb 0.000 0.000 0.000
Ta 0.000 0.000 2.473
Au 2.392 2.392 2.473
```

Calculated values
Formation energy (no corrections) = 2.09 eV/atom

# 3
Material: SbTe2MoAu
Method: DFT, GGA-PBEsol
State: optimized geometry

Cell and atoms, written as extended XYZ:
```
5
Lattice="-2.438 4.521 -0.056 -2.746 -1.531 -4.061 -3.648 -1.927 3.193" Properties=species:S:1:pos:R:3 pbc="T T T"
Te -1.219 2.260 -0.028
Te -1.373 -0.766 -2.031
Mo 0.000 0.000 0.000
Sb -1.824 -0.964 1.597
Au -4.416 0.531 -0.462
```

Calculated values
Formation energy (no corrections) = 0.67 eV/atom

# 4
Material: ScMo2Au
Method: DFT, GGA-PBEsol
State: optimized geometry

Cell and atoms, written as extended XYZ:
```
4
Lattice="-1.262 -2.574 1.111 -1.448 -1.943 -1.892 6.421 -5.670 -1.589" Properties=species:S:1:pos:R:3 pbc="T T T"
Sc 1.808 -5.066 -1.177
Mo -2.556 -4.604 -0.810
Mo 0.778 -2.461 -0.565
Au 2.826 -7.664 -1.786
```

Calculated values
Energy above the most stable polymorph in this dataset = 0 meV per atom
ΔE_f = 0.136 eV/atom

# 5
Material: ScMo2Au
Method: DFT, GGA-PBEsol
State: optimized geometry

Cell and atoms, written as extended XYZ:
```
4
Lattice="-0.574 2.647 -0.276 -0.689 -0.620 -4.510 -5.215 -1.033 0.939" Properties=species:S:1:pos:R:3 pbc="T T T"
Au -3.240 0.497 -1.923
Mo -3.999 -0.792 0.720
Mo -1.216 -0.241 0.219
Sc -0.632 1.014 -2.393
```

Calculated values
Energy above the most stable polymorph in this dataset = 86 meV per atom
ΔE_f = 0.222 eV/atom

# 6
Material: MoAu3Se
Method: DFT, GGA-PBEsol
State: optimized geometry

Cell and atoms, written as extended XYZ:
```
5
Lattice="4.927 0.000 0.000 0.000 4.927 0.000 0.000 0.000 4.927" Properties=species:S:1:pos:R:3 pbc="T T T"
Se 2.463 2.463 2.463
Au 0.000 0.000 2.463
Au 0.000 2.463 0.000
Au 2.463 0.000 0.000
Mo 0.000 0.000 0.000
```

Calculated values
Formation energy (no corrections) = 1.46 eV/atom

# 7
Material: MoAuSe
Method: DFT, GGA-PBEsol
State: optimized geometry

Cell and atoms, written as extended XYZ:
```
3
Lattice="2.834 0.007 0.000 -0.960 2.667 0.000 -0.937 -1.337 7.103" Properties=species:S:1:pos:R:3 pbc="T T T"
Mo 0.000 0.000 4.614
Au 0.937 1.337 6.874
Se 0.937 1.337 2.717
```

Calculated values
Formation energy (no corrections) = 0.32 eV/atom

# 8
Material: Mo2AuSe
Method: DFT, GGA-PBEsol
State: optimized geometry

Cell and atoms, written as extended XYZ:
```
4
Lattice="3.037 0.000 0.000 0.000 3.037 0.000 0.000 0.000 6.685" Properties=species:S:1:pos:R:3 pbc="T T T"
Mo 0.000 0.000 1.510
Mo 0.000 0.000 5.175
Au 1.518 1.518 3.342
Se 1.518 1.518 0.000
```

Calculated values
Formation energy (no corrections) = 0.14 eV/atom

# 9
Material: MoAuSe4
Method: DFT, GGA-PBEsol
State: optimized geometry

Cell and atoms, written as extended XYZ:
```
6
Lattice="-3.600 -3.978 -1.237 0.759 -5.099 1.935 -3.345 -1.994 3.893" Properties=species:S:1:pos:R:3 pbc="T T T"
Se -2.321 -4.154 1.723
Se -1.942 -6.699 2.688
Se -3.991 -5.149 3.666
Se -4.118 -6.139 1.105
Au -4.640 -8.303 3.443
Mo 0.000 0.000 0.000
```

Calculated values
Formation energy (no corrections) = 1.02 eV/atom

# 10
Material: SiMoAu
Method: DFT, GGA-PBEsol
State: optimized geometry

Cell and atoms, written as extended XYZ:
```
3
Lattice="-0.334 2.652 1.492 -0.753 -1.527 2.545 5.179 -0.703 -0.731" Properties=species:S:1:pos:R:3 pbc="T T T"
Mo 2.880 -0.087 0.800
Au 0.096 -0.003 0.027
Si 1.116 0.513 2.479
```

Calculated values
Formation energy (no corrections) = 0.11 eV/atom

# 11
Material: SiMoAu3
Method: DFT, GGA-PBEsol
State: optimized geometry

Cell and atoms, written as extended XYZ:
```
5
Lattice="4.921 0.000 0.000 0.000 4.921 0.000 0.000 0.000 4.921" Properties=species:S:1:pos:R:3 pbc="T T T"
Si 2.460 2.460 2.460
Au 0.000 0.000 2.460
Au 0.000 2.460 0.000
Au 2.460 0.000 0.000
Mo 0.000 0.000 0.000
```

Calculated values
Formation energy (no corrections) = 1.52 eV/atom

# 12
Material: SrMoAu
Method: DFT, GGA-PBEsol
State: optimized geometry

Cell and atoms, written as extended XYZ:
```
3
Lattice="4.486 0.000 0.000 0.000 4.416 0.000 0.000 -2.208 3.825" Properties=species:S:1:pos:R:3 pbc="T T T"
Au 0.000 0.000 0.000
Sr 2.243 2.208 1.275
Mo 0.000 0.000 2.550
```

Calculated values
Energy above the most stable polymorph in this dataset = 0 meV per atom
ΔE_f = 0.574 eV/atom

# 13
Material: SrMoAu
Method: DFT, GGA-PBEsol
State: optimized geometry

Cell and atoms, written as extended XYZ:
```
3
Lattice="3.066 0.000 0.000 -1.533 2.655 0.000 0.000 0.000 7.532" Properties=species:S:1:pos:R:3 pbc="T T T"
Mo 1.533 0.885 5.191
Sr 0.000 1.770 2.518
Au 0.000 0.000 7.354
```

Calculated values
Energy above the most stable polymorph in this dataset = 262 meV per atom
ΔE_f = 0.836 eV/atom

# 14
Material: TaMo2Au
Method: DFT, GGA-PBEsol
State: optimized geometry

Cell and atoms, written as extended XYZ:
```
4
Lattice="-1.405 -1.869 1.363 3.543 -0.527 2.929 -1.573 4.254 2.667" Properties=species:S:1:pos:R:3 pbc="T T T"
Ta 1.069 -1.198 2.146
Au 0.985 1.863 2.798
Mo -2.292 1.806 3.097
Mo -0.686 0.579 0.933
```

Calculated values
ΔE_f = 0.167 eV/atom

# 15
Material: Ta2MoAu
Method: DFT, GGA-PBEsol
State: optimized geometry

Cell and atoms, written as extended XYZ:
```
4
Lattice="3.289 0.000 0.000 0.000 3.289 0.000 0.000 0.000 6.208" Properties=species:S:1:pos:R:3 pbc="T T T"
Ta 0.000 0.000 1.642
Ta 0.000 0.000 4.567
Au 1.644 1.644 0.000
Mo 1.644 1.644 3.104
```

Calculated values
ΔE_f = -0.107 eV/atom

# 16
Material: TaMo4Au
Method: DFT, GGA-PBEsol
State: optimized geometry

Cell and atoms, written as extended XYZ:
```
6
Lattice="-3.429 -3.194 2.186 0.498 -5.114 -0.577 1.397 -2.932 4.024" Properties=species:S:1:pos:R:3 pbc="T T T"
Mo -2.287 -5.812 3.204
Mo -0.575 -4.217 2.113
Mo 0.122 -5.681 4.122
Mo -0.327 -6.771 1.825
Au 0.000 0.000 0.000
Ta -1.150 -8.431 4.224
```

Calculated values
ΔE_f = 0.250 eV/atom

# 17
Material: Ta4MoAu
Method: DFT, GGA-PBEsol
State: optimized geometry

Cell and atoms, written as extended XYZ:
```
6
Lattice="-4.459 1.078 2.684 -4.663 0.151 -2.545 -3.599 -3.824 0.819" Properties=species:S:1:pos:R:3 pbc="T T T"
Ta -7.112 -0.893 -0.932
Ta -7.008 -0.423 1.718
Ta -4.749 -0.969 0.358
Ta -6.573 -2.907 0.773
Au -9.541 -1.947 0.719
Mo 0.000 0.000 0.000
```

Calculated values
ΔE_f = 0.398 eV/atom

# 18
Material: Tc2MoAu
Method: DFT, GGA-PBEsol
State: optimized geometry

Cell and atoms, written as extended XYZ:
```
4
Lattice="-2.640 0.049 -0.874 -1.070 -2.057 3.116 -0.846 4.711 2.819" Properties=species:S:1:pos:R:3 pbc="T T T"
Au -0.423 2.355 1.409
Tc -2.039 0.022 1.735
Tc -0.007 0.039 0.023
Mo -2.510 2.644 3.304
```

Calculated values
Energy above the most stable polymorph in this dataset = 0 meV per atom
ΔE_f = 0.115 eV/atom

# 19
Material: Tc2MoAu
Method: DFT, GGA-PBEsol
State: optimized geometry

Cell and atoms, written as extended XYZ:
```
4
Lattice="-0.583 -0.892 2.545 1.980 -1.129 1.553 2.530 7.578 4.731" Properties=species:S:1:pos:R:3 pbc="T T T"
Tc 2.970 4.266 6.662
Tc 0.957 1.291 2.167
Mo 0.000 0.000 0.000
Au 1.964 2.779 4.415
```

Calculated values
Energy above the most stable polymorph in this dataset = 129 meV per atom
ΔE_f = 0.244 eV/atom

# 20
Material: TcMo2Au
Method: DFT, GGA-PBEsol
State: optimized geometry

Cell and atoms, written as extended XYZ:
```
4
Lattice="-3.547 1.577 2.152 -2.974 -2.804 1.731 -0.312 -0.464 4.403" Properties=species:S:1:pos:R:3 pbc="T T T"
Tc -3.417 -0.846 4.143
Au 0.000 0.000 0.000
Mo -5.125 -1.268 6.215
Mo -1.708 -0.423 2.072
```

Calculated values
Energy above the most stable polymorph in this dataset = 234 meV per atom
ΔE_f = 0.461 eV/atom

# 21
Material: Tc2MoAu
Method: DFT, GGA-PBEsol
State: optimized geometry

Cell and atoms, written as extended XYZ:
```
4
Lattice="-2.533 -3.603 0.042 0.457 -3.050 -3.145 1.761 -3.919 0.972" Properties=species:S:1:pos:R:3 pbc="T T T"
Tc 0.000 0.000 0.000
Tc -0.079 -2.643 -0.533
Au -0.158 -5.286 -1.066
Mo -0.237 -7.930 -1.598
```

Calculated values
Energy above the most stable polymorph in this dataset = 353 meV per atom
ΔE_f = 0.468 eV/atom

# 22
Material: Tc2MoAu
Method: DFT, GGA-PBEsol
State: optimized geometry

Cell and atoms, written as extended XYZ:
```
4
Lattice="3.931 0.000 0.000 0.000 3.931 0.000 -1.966 -1.966 3.833" Properties=species:S:1:pos:R:3 pbc="T T T"
Au 1.966 1.966 0.000
Tc 1.966 0.000 1.916
Tc 0.000 1.966 1.916
Mo 0.000 0.000 0.000
```

Calculated values
Energy above the most stable polymorph in this dataset = 82 meV per atom
ΔE_f = 0.196 eV/atom

# 23
Material: TcMoAu
Method: DFT, GGA-PBEsol
State: optimized geometry

Cell and atoms, written as extended XYZ:
```
3
Lattice="-3.805 0.131 1.863 -2.988 -2.803 -1.085 -1.134 -3.047 2.718" Properties=species:S:1:pos:R:3 pbc="T T T"
Mo -1.982 -1.430 0.874
Tc 0.000 0.000 0.000
Au -3.964 -2.860 1.748
```

Calculated values
ΔE_f = 0.796 eV/atom

# 24
Material: TcMo2Au
Method: DFT, GGA-PBEsol
State: optimized geometry

Cell and atoms, written as extended XYZ:
```
4
Lattice="-0.997 1.507 2.101 -0.518 -1.201 2.443 8.098 1.971 4.259" Properties=species:S:1:pos:R:3 pbc="T T T"
Mo 4.825 1.683 6.566
Mo 1.757 0.593 2.236
Tc 3.291 1.138 4.401
Au 0.000 0.000 0.000
```

Calculated values
Energy above the most stable polymorph in this dataset = 0 meV per atom
ΔE_f = 0.227 eV/atom

# 25
Material: TeMoAu2
Method: DFT, GGA-PBEsol
State: optimized geometry

Cell and atoms, written as extended XYZ:
```
4
Lattice="3.153 0.000 0.000 1.576 2.730 0.000 1.576 0.910 8.814" Properties=species:S:1:pos:R:3 pbc="T T T"
Te 1.576 0.910 2.456
Au 1.576 0.910 8.647
Au 4.729 2.730 6.507
Mo 3.153 1.820 4.425
```

Calculated values
Formation energy (no corrections) = 0.28 eV/atom

# 26
Material: TeMo2Au
Method: DFT, GGA-PBEsol
State: optimized geometry

Cell and atoms, written as extended XYZ:
```
4
Lattice="3.312 0.000 0.000 0.000 4.570 0.000 0.000 0.000 4.614" Properties=species:S:1:pos:R:3 pbc="T T T"
Au 0.000 2.285 2.307
Mo 1.656 2.285 0.000
Mo 0.000 0.000 0.000
Te 1.656 0.000 2.307
```

Calculated values
Formation energy (no corrections) = 0.60 eV/atom

# 27
Material: TiMoAu3
Method: DFT, GGA-PBEsol
State: optimized geometry

Cell and atoms, written as extended XYZ:
```
5
Lattice="-4.529 0.444 -1.811 -1.413 -3.922 2.571 -1.217 2.900 3.755" Properties=species:S:1:pos:R:3 pbc="T T T"
Mo 0.000 0.000 0.000
Au -2.264 0.222 -0.906
Au -0.706 -1.961 1.286
Au -0.609 1.450 1.877
Ti -3.579 -0.289 2.257
```

Calculated values
Energy above the most stable polymorph in this dataset = 0 meV per atom
ΔE_f = 1.298 eV/atom

# 28
Material: TlMoAu2
Method: DFT, GGA-PBEsol
State: optimized geometry

Cell and atoms, written as extended XYZ:
```
4
Lattice="-2.048 1.884 -0.816 -2.107 -0.795 3.455 2.950 4.426 2.817" Properties=species:S:1:pos:R:3 pbc="T T T"
Au 0.667 1.000 0.637
Au 2.283 3.426 2.180
Mo -2.077 0.544 1.320
Tl -0.603 2.758 2.728
```

Calculated values
Energy above the most stable polymorph in this dataset = 0 meV per atom
ΔE_f = 0.386 eV/atom

# 29
Material: TlMo2Au
Method: DFT, GGA-PBEsol
State: optimized geometry

Cell and atoms, written as extended XYZ:
```
4
Lattice="-0.467 2.228 -2.278 3.281 -2.084 -2.711 -3.824 -3.271 -0.139" Properties=species:S:1:pos:R:3 pbc="T T T"
Mo 0.315 -1.644 -3.948
Mo -1.324 -1.484 -1.180
Au -0.234 1.114 -1.139
Tl 1.641 -1.042 -1.356
```

Calculated values
ΔE_f = 0.490 eV/atom

# 30
Material: TlMoAu2
Method: DFT, GGA-PBEsol
State: optimized geometry

Cell and atoms, written as extended XYZ:
```
4
Lattice="2.951 0.000 0.000 -1.476 4.572 -0.006 0.000 -0.889 5.333" Properties=species:S:1:pos:R:3 pbc="T T T"
Tl 1.476 2.083 1.339
Au 0.000 1.600 3.923
Au 1.476 3.682 5.246
Mo 1.476 -0.444 2.813
```

Calculated values
Energy above the most stable polymorph in this dataset = 24 meV per atom
ΔE_f = 0.410 eV/atom